Entry 1:
## AlIr2Se (GGA-PBE)

Data for crystalline AlIr2Se at its relaxed geometry.

```
4
Lattice="-0.689 3.611 -0.560 0.178 -0.388 -2.719 -7.145 -1.618 -1.649" Properties=species:S:1:pos:R:3 pbc="T T T"
Ir -7.104 -1.637 -1.820
Ir -1.802 1.281 -1.870
Al -6.368 0.170 -3.422
Se -3.009 -0.829 -1.649
```

Properties
The total energy comes out at -6.35 eV per atom. The crystal system is monoclinic. The calculation puts the formation energy from raw total energies at -0.11 eV/atom.

=====

Entry 2:
## ZnSiP2 (GGA-PBE)

Data for crystalline ZnSiP2 at its relaxed geometry.

```
4
Lattice="-4.061 5.114 1.183 -5.893 2.334 -1.968 4.022 -4.813 2.169" Properties=species:S:1:pos:R:3 pbc="T T T"
P -9.439 7.062 -0.744
P -3.115 2.467 1.432
Si -5.356 4.008 -0.422
Zn -2.954 0.270 -0.059
```

Properties
The total energy comes out at -4.03 eV per atom. The crystal system is orthorhombic. The calculation puts the formation energy from raw total energies at 0.35 eV/atom.

=====

Entry 3:
## Ac2Cd3Ga4Hg (GGA-PBE)

Data for crystalline Ac2Cd3Ga4Hg at its relaxed geometry.

```
10
Lattice="4.661 0.000 0.000 0.000 4.661 0.000 0.000 0.000 11.267" Properties=species:S:1:pos:R:3 pbc="T T T"
Ac 2.330 0.000 2.777
Ac 0.000 2.330 8.490
Cd 0.000 0.000 5.634
Cd 2.330 0.000 9.815
Cd 0.000 2.330 1.452
Ga 2.330 2.330 0.000
Ga 0.000 0.000 0.000
Ga 2.330 0.000 7.183
Ga 0.000 2.330 4.084
Hg 2.330 2.330 5.634
```

Properties
As for the formation energy: -380.9 meV/atom. The total energy comes out at -2.72 eV per atom. The crystal system is tetragonal.

=====

Entry 4:
## BeSbTe2 (GGA-PBE)

Data for crystalline BeSbTe2 at its relaxed geometry.

```
4
Lattice="3.677 0.000 0.000 0.000 4.728 0.060 0.000 2.303 6.863" Properties=species:S:1:pos:R:3 pbc="T T T"
Sb 1.839 5.037 4.568
Te 0.000 2.198 6.193
Te 1.839 2.393 2.514
Be 0.000 3.221 3.972
```

Properties
The total energy comes out at -3.51 eV per atom. The crystal system is monoclinic. The calculation puts the formation energy from raw total energies at 0.03 eV/atom.

=====

Entry 5:
## Ac5Zn2Ga5 (GGA-PBE)

Data for crystalline Ac5Zn2Ga5 at its relaxed geometry.

```
12
Lattice="4.246 0.000 0.958 1.968 8.071 1.164 -0.047 0.299 10.096" Properties=species:S:1:pos:R:3 pbc="T T T"
Ac 0.961 4.185 5.630
Ac 4.283 5.887 10.682
Ac 3.401 7.632 4.701
Ac 2.766 0.738 7.517
Ac 1.885 2.483 1.535
Zn 2.526 3.875 8.581
Zn 3.642 4.495 3.636
Ga 3.421 2.097 4.615
Ga 4.506 2.619 9.695
Ga 1.662 5.751 2.523
Ga 2.747 6.273 7.602
Ga 0.000 0.000 0.000
```

Properties
As for the formation energy: -411.8 meV/atom. The total energy comes out at -3.60 eV per atom. The crystal system is monoclinic.

=====

Entry 6:
## LuScVIn (GGA-PBE)

Data for crystalline LuScVIn at its relaxed geometry.

```
4
Lattice="-4.899 0.886 0.540 -3.092 -0.566 -3.899 -3.256 -3.804 -0.082" Properties=species:S:1:pos:R:3 pbc="T T T"
Sc 0.000 0.000 0.000
V -2.812 -0.871 -0.860
Lu -5.624 -1.742 -1.720
In -8.435 -2.613 -2.581
```

Properties
As for the formation energy: -64.3 meV/atom. The total energy comes out at -5.74 eV per atom. The crystal system is cubic.

=====

Entry 7:
## Sr2Li6Sn9 (GGA-PBE)

Data for crystalline Sr2Li6Sn9 at its relaxed geometry.

```
17
Lattice="-6.052 1.075 1.004 3.315 -3.252 4.150 3.105 11.434 6.478" Properties=species:S:1:pos:R:3 pbc="T T T"
Sr 2.069 7.618 4.316
Sr 1.036 3.816 2.162
Li 0.193 -1.810 3.101
Li -2.930 -0.367 2.053
Li 2.254 5.781 7.402
Li -0.868 7.223 6.353
Li -1.886 3.476 4.230
Li 1.237 2.034 5.279
Sn -0.447 10.033 5.881
Sn 4.236 7.869 7.455
Sn 1.210 8.407 7.957
Sn -2.500 2.476 1.600
Sn 2.184 0.313 3.173
Sn -0.842 0.850 3.675
Sn -1.474 6.254 3.741
Sn 3.210 4.091 5.314
Sn 0.184 4.628 5.816
```

Properties
As for the formation energy: -292.3 meV/atom. The total energy comes out at -3.28 eV per atom. The crystal system is hexagonal.

=====

Entry 8:
## Li3TiPt (GGA-PBE)

Data for crystalline Li3TiPt at its relaxed geometry.

```
5
Lattice="4.546 0.000 0.000 0.000 4.546 0.000 0.000 0.000 4.546" Properties=species:S:1:pos:R:3 pbc="T T T"
Li 0.000 2.273 0.000
Li 0.000 0.000 2.273
Li 2.273 0.000 0.000
Pt 0.000 0.000 0.000
Ti 2.273 2.273 2.273
```

Properties
As for the formation energy: 418.5 meV/atom. The total energy comes out at -3.52 eV per atom. The crystal system is cubic.

=====

Please write out number 8 again, unchanged.
## Li3TiPt (GGA-PBE)

Data for crystalline Li3TiPt at its relaxed geometry.

```
5
Lattice="4.546 0.000 0.000 0.000 4.546 0.000 0.000 0.000 4.546" Properties=species:S:1:pos:R:3 pbc="T T T"
Li 0.000 2.273 0.000
Li 0.000 0.000 2.273
Li 2.273 0.000 0.000
Pt 0.000 0.000 0.000
Ti 2.273 2.273 2.273
```

Properties
As for the formation energy: 418.5 meV/atom. The total energy comes out at -3.52 eV per atom. The crystal system is cubic.